# 1
Computed, not measured: a geometry-optimized Pt2Se2Br structure at the GGA-PBE level of DFT.

Values from the calculation:
Formation energy from raw total energies (eV per atom): 0.015
Space group: I4/mmm, No. 139

Cell lengths 3.406, 3.406, 10.696 Å; angles 99.16, 99.16, 90.00 degrees
Element x y z (fractional)
Pt (0.875, 0.875, 0.749)
Pt (0.125, 0.125, 0.251)
Se (0.664, 0.664, 0.329)
Se (0.336, 0.336, 0.671)
Br (0.000, 0.000, 0.000)

=====

# 2
Computed, not measured: a geometry-optimized TaHgP structure at the GGA-PBE level of DFT.

Values from the calculation:
Formation enthalpy at 0 K (meV per atom): -36
Offset from the most stable computed form (meV per atom): 0.0
Space group: I4mm, No. 107

Cell lengths 5.668, 5.668, 5.668 Å; angles 146.40, 146.40, 48.25 degrees
Element x y z (fractional)
Ta (0.702, 0.702, 0.000)
Hg (0.001, 0.001, 0.000)
P (0.297, 0.297, 0.000)

=====

Number 1: total energy -4.130 eV per atom. Number 2: total energy -5.890 eV per atom.